{
  "formula": "TmMg",
  "functional": "PBE-GGA",
  "state": "optimized geometry",
  "lattice": [[-8.185, -7.673, 1.786], [4.004, -3.162, 4.765], [-2.086, 3.115, 3.821]],
  "species": ["Mg", "Tm", "Tm", "Mg", "Mg", "Tm", "Mg", "Mg", "Tm", "Tm", "Tm", "Mg", "Tm", "Mg", "Mg", "Tm"],
  "frac_coords": [[0.007, 0.000, 0.000], [0.483, 0.500, 0.000], [0.652, 0.000, 0.500], [0.420, 0.255, 0.500], [0.420, 0.745, 0.500], [0.015, 0.500, 0.000], [0.476, 0.000, 0.000], [0.660, 0.500, 0.500], [0.923, 0.756, 0.500], [0.184, 0.000, 0.500], [0.923, 0.244, 0.500], [0.246, 0.755, 0.000], [0.743, 0.744, 0.000], [0.246, 0.245, 0.000], [0.190, 0.500, 0.500], [0.743, 0.256, 0.000]],
  "final_energy_ev_per_atom": -3.02,
  "volume_a3_per_atom": 26.53
}

{
  "formula": "Tm3Mg4",
  "functional": "PBE-GGA",
  "state": "optimized geometry",
  "lattice": [[5.832, 6.734, 0.000], [-2.916, 8.417, 0.000], [0.000, 0.000, 5.362]],
  "species": ["Mg", "Mg", "Tm", "Mg", "Tm", "Mg", "Mg", "Tm", "Tm", "Tm", "Tm", "Mg", "Mg", "Mg"],
  "frac_coords": [[0.576, 0.135, 0.000], [0.091, 0.519, 0.500], [0.227, 0.805, 0.500], [0.143, 0.286, 0.000], [0.662, 0.682, 0.500], [0.377, 0.103, 0.500], [0.992, 0.004, 0.000], [0.725, 0.433, 0.000], [0.539, 0.370, 0.500], [0.290, 0.556, 0.000], [0.413, 0.868, 0.000], [0.810, 0.952, 0.500], [0.861, 0.719, 0.000], [0.961, 0.234, 0.500]],
  "final_energy_ev_per_atom": -2.82,
  "volume_a3_per_atom": 26.32
}

{
  "formula": "TmMg",
  "functional": "PBE-GGA",
  "state": "optimized geometry",
  "lattice": [[-1.492, -4.190, 3.756], [3.227, -7.811, -2.919], [4.593, 0.858, 2.781]],
  "species": ["Mg", "Tm", "Tm", "Tm", "Tm", "Tm", "Mg", "Mg", "Mg", "Mg"],
  "frac_coords": [[0.072, 0.200, 0.500], [0.807, 0.398, 0.000], [0.606, 0.802, 0.000], [0.258, 0.806, 0.500], [0.465, 0.394, 0.500], [0.201, 0.600, 0.000], [0.398, 0.196, 0.000], [0.994, 0.004, 0.000], [0.672, 0.000, 0.500], [0.861, 0.600, 0.500]],
  "final_energy_ev_per_atom": -3.00,
  "volume_a3_per_atom": 26.76
}

{
  "formula": "TmMg",
  "functional": "PBE-GGA",
  "state": "optimized geometry",
  "lattice": [[-1.353, -2.459, 4.505], [-3.124, -1.262, -1.627], [2.587, -4.347, -1.595]],
  "species": ["Mg", "Tm", "Tm", "Mg"],
  "frac_coords": [[0.924, 0.000, 0.000], [0.911, 0.500, 0.500], [0.423, 0.500, 0.000], [0.409, 0.000, 0.500]],
  "final_energy_ev_per_atom": -3.06,
  "volume_a3_per_atom": 26.33
}